No. 1
A plane-wave DFT calculation with PBE was carried out for a relaxed Y2Co crystal.

Geometry as POSCAR:
```
Y2Co
1.0
2.463 -4.266 0.000
2.463 4.266 0.000
0.000 0.000 3.086
Co Y
1 2
Cartesian
0.000 0.000 1.543
2.463 -1.422 0.000
2.463 1.422 0.000
```

## Properties
Fermi-level density of states = 3.917 states/eV/f.u.
formation enthalpy at 0 K = 163.4 kJ/mol of formula units
space-group type = P6/mmm
DFT total energy = -6.11 eV/atom



No. 2
A plane-wave DFT calculation with PBE was carried out for a relaxed Tb4PrIn crystal.

Geometry as POSCAR:
```
Tb4PrIn
1.0
-0.290 2.464 2.629
0.903 -2.504 2.446
13.858 3.387 -1.647
Tb In Pr
4 1 1
Cartesian
11.668 2.757 1.188
2.803 0.590 2.241
4.919 1.202 -0.584
8.940 2.185 -1.062
7.235 1.674 1.714
0.000 0.000 0.000
```

## Properties
Fermi-level density of states = 7.387 states/eV/f.u.
formation enthalpy at 0 K = -84.2 kJ/mol of formula units
space-group type = P4/mmm
DFT total energy = -4.49 eV/atom



No. 3
A plane-wave DFT calculation with PBE was carried out for a relaxed TlCd2Os crystal.

Geometry as POSCAR:
```
TlCd2Os
1.0
0.000 3.431 3.431
3.431 0.000 3.431
3.431 3.431 0.000
Os Cd Tl
1 2 1
Cartesian
0.000 0.000 0.000
1.716 1.716 1.716
5.147 5.147 5.147
3.431 3.431 3.431
```

## Properties
Fermi-level density of states = 2.764 states/eV/f.u.
formation enthalpy at 0 K = 316.8 kJ/mol of formula units
space-group type = Fm-3m
DFT total energy = -3.04 eV/atom